(1)
BeCoTcGe | PBE-GGA | relaxed

Properties
* crystal system: cubic
* energy relative to the lowest polymorph listed for this composition: 27.6 kJ per mole of atoms
* SG: No. 216
* total magnetic moment: 1.6 Bohr magnetons per cell

Lattice parameters (Å, degrees): 4.0785 4.0785 4.0785 60.00 60.00 60.00
Element x y z (fractional)
Be (0.0000, 0.0000, 0.0000)
Co (0.5000, 0.5000, 0.5000)
Tc (0.7500, 0.7500, 0.7500)
Ge (0.2500, 0.2500, 0.2500)

(2)
BeCoTcGe | PBE-GGA | relaxed

Properties
* crystal system: cubic
* energy relative to the lowest polymorph listed for this composition: 0.0 kJ per mole of atoms
* SG: No. 216
* total magnetic moment: 0.5 Bohr magnetons per cell

Lattice parameters (Å, degrees): 4.0560 4.0560 4.0560 60.00 60.00 60.00
Element x y z (fractional)
Be (0.0000, 0.0000, 0.0000)
Co (0.7500, 0.7500, 0.7500)
Tc (0.2500, 0.2500, 0.2500)
Ge (0.5000, 0.5000, 0.5000)

(3)
BeTlCoGe | PBE-GGA | relaxed

Properties
* crystal system: cubic
* energy relative to the lowest polymorph listed for this composition: 13.6 kJ per mole of atoms
* SG: No. 216
* total magnetic moment: 0.1 Bohr magnetons per cell

Lattice parameters (Å, degrees): 4.4760 4.4760 4.4760 60.00 60.00 60.00
Element x y z (fractional)
Be (0.0000, 0.0000, 0.0000)
Tl (0.2500, 0.2500, 0.2500)
Co (0.7500, 0.7500, 0.7500)
Ge (0.5000, 0.5000, 0.5000)

(4)
BeTlCoGe | PBE-GGA | relaxed

Properties
* crystal system: cubic
* energy relative to the lowest polymorph listed for this composition: 0.0 kJ per mole of atoms
* SG: No. 216
* total magnetic moment: 0.0 Bohr magnetons per cell

Lattice parameters (Å, degrees): 4.4203 4.4203 4.4203 60.00 60.00 60.00
Element x y z (fractional)
Be (0.0000, 0.0000, 0.0000)
Tl (0.2500, 0.2500, 0.2500)
Co (0.5000, 0.5000, 0.5000)
Ge (0.7500, 0.7500, 0.7500)

(5)
BeCoGeW | PBE-GGA | relaxed

Properties
* crystal system: cubic
* energy relative to the lowest polymorph listed for this composition: 0.0 kJ per mole of atoms
* SG: No. 216
* total magnetic moment: 1.3 Bohr magnetons per cell

Lattice parameters (Å, degrees): 4.1151 4.1151 4.1151 60.00 60.00 60.00
Element x y z (fractional)
Be (0.0000, 0.0000, 0.0000)
Co (0.7500, 0.7500, 0.7500)
Ge (0.5000, 0.5000, 0.5000)
W (0.2500, 0.2500, 0.2500)

(6)
BeCoGeW | PBE-GGA | relaxed

Properties
* crystal system: cubic
* energy relative to the lowest polymorph listed for this composition: 9.7 kJ per mole of atoms
* SG: No. 216
* total magnetic moment: 2.0 Bohr magnetons per cell

Lattice parameters (Å, degrees): 4.1323 4.1323 4.1323 60.00 60.00 60.00
Element x y z (fractional)
Be (0.0000, 0.0000, 0.0000)
Co (0.5000, 0.5000, 0.5000)
Ge (0.2500, 0.2500, 0.2500)
W (0.7500, 0.7500, 0.7500)

(7)
ZrBeCoGe | PBE-GGA | relaxed

Properties
* crystal system: cubic
* energy relative to the lowest polymorph listed for this composition: 0.0 kJ per mole of atoms
* SG: No. 216
* total magnetic moment: 0.0 Bohr magnetons per cell

Lattice parameters (Å, degrees): 4.2515 4.2515 4.2515 60.00 60.00 60.00
Element x y z (fractional)
Zr (0.0000, 0.0000, 0.0000)
Be (0.2500, 0.2500, 0.2500)
Co (0.7500, 0.7500, 0.7500)
Ge (0.5000, 0.5000, 0.5000)

(8)
ZrBeCoGe | PBE-GGA | relaxed

Properties
* crystal system: cubic
* energy relative to the lowest polymorph listed for this composition: 10.5 kJ per mole of atoms
* SG: No. 216
* total magnetic moment: 1.1 Bohr magnetons per cell

Lattice parameters (Å, degrees): 4.3014 4.3014 4.3014 60.00 60.00 60.00
Element x y z (fractional)
Zr (0.0000, 0.0000, 0.0000)
Be (0.7500, 0.7500, 0.7500)
Co (0.5000, 0.5000, 0.5000)
Ge (0.2500, 0.2500, 0.2500)

(9)
HfBe2Co | PBE-GGA | relaxed

Properties
* crystal system: cubic
* calculated total energy: -24.9 eV per cell
* SG: No. 216
* total magnetic moment: 0.4 Bohr magnetons per cell

Lattice parameters (Å, degrees): 4.0951 4.0951 4.0951 60.00 60.00 60.00
Element x y z (fractional)
Hf (0.0000, 0.0000, 0.0000)
Be (0.5000, 0.5000, 0.5000)
Be (0.7500, 0.7500, 0.7500)
Co (0.2500, 0.2500, 0.2500)

(10)
LaHfBeCo | PBE-GGA | relaxed

Properties
* crystal system: cubic
* energy relative to the lowest polymorph listed for this composition: 17.8 kJ per mole of atoms
* SG: No. 216
* total magnetic moment: 0.0 Bohr magnetons per cell

Lattice parameters (Å, degrees): 4.5561 4.5561 4.5561 60.00 60.00 60.00
Element x y z (fractional)
La (0.0000, 0.0000, 0.0000)
Hf (0.2500, 0.2500, 0.2500)
Be (0.5000, 0.5000, 0.5000)
Co (0.7500, 0.7500, 0.7500)

(11)
LaHfBeCo | PBE-GGA | relaxed

Properties
* crystal system: cubic
* energy relative to the lowest polymorph listed for this composition: 0.0 kJ per mole of atoms
* SG: No. 216
* total magnetic moment: 0.0 Bohr magnetons per cell

Lattice parameters (Å, degrees): 4.7253 4.7253 4.7253 60.00 60.00 60.00
Element x y z (fractional)
La (0.0000, 0.0000, 0.0000)
Hf (0.5000, 0.5000, 0.5000)
Be (0.7500, 0.7500, 0.7500)
Co (0.2500, 0.2500, 0.2500)

(12)
LaHfBeCo | PBE-GGA | relaxed

Properties
* crystal system: cubic
* energy relative to the lowest polymorph listed for this composition: 15.7 kJ per mole of atoms
* SG: No. 216
* total magnetic moment: 0.0 Bohr magnetons per cell

Lattice parameters (Å, degrees): 4.6086 4.6086 4.6086 60.00 60.00 60.00
Element x y z (fractional)
La (0.0000, 0.0000, 0.0000)
Hf (0.2500, 0.2500, 0.2500)
Be (0.7500, 0.7500, 0.7500)
Co (0.5000, 0.5000, 0.5000)

(13)
LuHfBeCo | PBE-GGA | relaxed

Properties
* crystal system: cubic
* energy relative to the lowest polymorph listed for this composition: 0.0 kJ per mole of atoms
* SG: No. 216
* total magnetic moment: 0.0 Bohr magnetons per cell

Lattice parameters (Å, degrees): 4.5317 4.5317 4.5317 60.00 60.00 60.00
Element x y z (fractional)
Lu (0.0000, 0.0000, 0.0000)
Hf (0.5000, 0.5000, 0.5000)
Be (0.7500, 0.7500, 0.7500)
Co (0.2500, 0.2500, 0.2500)

(14)
LuHfBeCo | PBE-GGA | relaxed

Properties
* crystal system: cubic
* energy relative to the lowest polymorph listed for this composition: 26.6 kJ per mole of atoms
* SG: No. 216
* total magnetic moment: 0.0 Bohr magnetons per cell

Lattice parameters (Å, degrees): 4.4747 4.4747 4.4747 60.00 60.00 60.00
Element x y z (fractional)
Lu (0.0000, 0.0000, 0.0000)
Hf (0.2500, 0.2500, 0.2500)
Be (0.7500, 0.7500, 0.7500)
Co (0.5000, 0.5000, 0.5000)